8
Lattice="-1.4738 3.9948 -1.8236 -4.3619 -1.5538 0.1214 -4.1928 5.6356 9.8511" Properties=species:S:1:pos:R:3 comment="Na2SrSi, optimized geometry, DFT PBE-GGA" dos_ef_per_ev_cell=6.5 sg="I-42d (122)" e_form_raw_ev_per_atom=0.140 pbc="T T T"
Si -5.7363 2.6511 4.5607
Si -2.9178 1.2205 -0.8511
Na -8.0137 6.4470 5.8923
Na -4.0387 1.1543 2.2116
Na -2.4344 3.4942 1.4373
Na -5.5701 5.0576 6.7566
Sr -4.2922 5.4254 3.5882
Sr 0.0000 0.0000 0.0000